[1]
Material: Pm2NdTh3As6
Method: DFT, PBE-GGA
State: relaxed

Lattice parameters (Å, degrees): 7.3801 12.7626 7.3482 90.00 109.54 90.00
Last column: nearest neighbours and their distance in Å.
Space group C2/m (No. 12)
Asymmetric unit:
Pm: 0.0000 0.1667 0.0000 (multiplicity 4)  6 As 3.01
Nd: 0.0000 0.5000 0.0000 (multiplicity 2)  6 As 3.02
Th: 0.0000 0.0000 0.5000 (multiplicity 2)  6 As 2.99-3.00
Th: 0.0000 0.3336 0.5000 (multiplicity 4)  6 As 2.99-3.00
As: 0.2493 0.0000 0.2516 (multiplicity 4)  3 Th 2.99-3.00, 2 Pm 3.01, 1 Nd 3.02
As: 0.2488 0.1673 0.7481 (multiplicity 8)  3 Th 2.99-3.00, 2 Pm 3.01, 1 Nd 3.02

=====

[2]
Material: Pm2Nd3ThAs6
Method: DFT, PBE-GGA
State: relaxed

Lattice parameters (Å, degrees): 18.5488 4.2607 8.5201 90.00 103.26 90.00
Last column: nearest neighbours and their distance in Å.
Space group C2/m (No. 12)
Asymmetric unit:
Pm: 0.1677 0.0000 0.3357 (multiplicity 4)  6 As 2.99-3.02
Nd: 0.0000 0.5000 0.5000 (multiplicity 2)  6 As 3.01-3.03
Nd: 0.1677 0.0000 0.8317 (multiplicity 4)  6 As 3.01-3.04
Th: 0.0000 0.5000 0.0000 (multiplicity 2)  6 As 2.98-2.99
As: 0.0004 0.0000 0.2472 (multiplicity 4)  2 Th 2.99, 1 Pm 3.02, 3 Nd 3.03-3.04
As: 0.1652 0.5000 0.0837 (multiplicity 4)  1 Th 2.98, 3 Nd 3.02-3.03, 2 Pm 3.02
As: 0.1669 0.5000 0.5822 (multiplicity 4)  3 Pm 2.99, 3 Nd 3.01

=====

[3]
Material: PmNd2ThAs4
Method: DFT, PBE-GGA
State: relaxed

Lattice parameters (Å, degrees): 7.3703 4.2634 7.3746 90.00 109.44 90.00
Last column: nearest neighbours and their distance in Å.
Space group P2/m (No. 10)
Asymmetric unit:
Pm: 0.0000 0.0000 0.0000 (multiplicity 1)  6 As 3.00
Nd: 0.0000 0.5000 0.5000 (multiplicity 1)  6 As 3.03
Nd: 0.5000 0.0000 0.5000 (multiplicity 1)  6 As 3.02
Th: 0.5000 0.5000 0.0000 (multiplicity 1)  6 As 2.99-3.00
As: 0.2504 0.5000 0.2468 (multiplicity 2)  1 Th 2.99, 2 Pm 3.00, 3 Nd 3.02-3.03
As: 0.2518 0.0000 0.7532 (multiplicity 2)  2 Th 3.00, 1 Pm 3.00, 3 Nd 3.02-3.03

=====

[4]
Material: PmNdTh2As4
Method: DFT, PBE-GGA
State: relaxed

Lattice parameters (Å, degrees): 7.3565 4.2607 7.3770 90.00 109.60 90.00
Last column: nearest neighbours and their distance in Å.
Space group P2/m (No. 10)
Asymmetric unit:
Pm: 0.0000 0.0000 0.0000 (multiplicity 1)  6 As 3.01-3.02
Nd: 0.0000 0.5000 0.5000 (multiplicity 1)  6 As 3.02
Th: 0.5000 0.0000 0.5000 (multiplicity 1)  6 As 3.00
Th: 0.5000 0.5000 0.0000 (multiplicity 1)  6 As 2.99-3.00
As: 0.2518 0.5000 0.2497 (multiplicity 2)  3 Th 3.00, 2 Pm 3.01, 1 Nd 3.02
As: 0.2526 0.0000 0.7517 (multiplicity 2)  3 Th 2.99-3.00, 1 Pm 3.02, 2 Nd 3.02

=====

[5]
Material: Pm3Nd2TmAs6
Method: DFT, PBE-GGA
State: relaxed

Lattice parameters (Å, degrees): 18.4018 4.2251 8.4431 90.00 103.29 90.00
Last column: nearest neighbours and their distance in Å.
Space group C2/m (No. 12)
Asymmetric unit:
Pm: 0.0000 0.0000 0.0000 (multiplicity 2)  6 As 2.98-3.03
Pm: 0.1673 0.5000 0.3341 (multiplicity 4)  6 As 2.97-3.03
Nd: 0.1655 0.5000 0.8317 (multiplicity 4)  6 As 2.98-3.01
Tm: 0.0000 0.0000 0.5000 (multiplicity 2)  6 As 2.93-2.94
As: 0.0011 0.5000 0.2581 (multiplicity 4)  2 Tm 2.94, 3 Pm 2.98-3.03, 1 Nd 2.98
As: 0.1637 0.0000 0.5801 (multiplicity 4)  1 Tm 2.93, 3 Pm 2.97-3.03, 2 Nd 2.99
As: 0.1663 0.0000 0.0845 (multiplicity 4)  3 Pm 2.98, 3 Nd 3.00-3.01

=====

[6]
Material: PmNd2Tm3As6
Method: DFT, PBE-GGA
State: relaxed

Lattice parameters (Å, degrees): 18.1360 4.1668 8.3199 90.00 103.14 90.00
Last column: nearest neighbours and their distance in Å.
Space group C2/m (No. 12)
Asymmetric unit:
Pm: 0.0000 0.0000 0.0000 (multiplicity 2)  6 As 2.99
Nd: 0.1665 0.5000 0.3330 (multiplicity 4)  6 As 2.99-3.00
Tm: 0.0000 0.0000 0.5000 (multiplicity 2)  6 As 2.89-2.90
Tm: 0.1667 0.5000 0.8334 (multiplicity 4)  6 As 2.89-2.90
As: 0.0030 0.5000 0.7442 (multiplicity 4)  3 Tm 2.89-2.90, 2 Pm 2.99, 1 Nd 2.99
As: 0.1638 0.0000 0.5905 (multiplicity 4)  3 Tm 2.89, 3 Nd 3.00
As: 0.1690 0.0000 0.0757 (multiplicity 4)  3 Tm 2.89-2.90, 1 Pm 2.99, 2 Nd 3.00

=====

[7]
Material: PmNdTm2As4
Method: DFT, PBE-GGA
State: relaxed

Lattice parameters (Å, degrees): 7.1985 4.1647 7.2093 90.00 109.50 90.00
Last column: nearest neighbours and their distance in Å.
Space group P2/m (No. 10)
Asymmetric unit:
Pm: 0.0000 0.0000 0.0000 (multiplicity 1)  6 As 2.98-2.99
Nd: 0.0000 0.5000 0.5000 (multiplicity 1)  6 As 2.99
Tm: 0.5000 0.0000 0.5000 (multiplicity 1)  6 As 2.90
Tm: 0.5000 0.5000 0.0000 (multiplicity 1)  6 As 2.89
As: 0.2623 0.0000 0.7550 (multiplicity 2)  3 Tm 2.89-2.90, 1 Pm 2.98, 2 Nd 2.99
As: 0.2617 0.5000 0.2530 (multiplicity 2)  3 Tm 2.89-2.90, 2 Pm 2.99, 1 Nd 2.99

=====

[8]
Material: Pm3Nd2UAs6
Method: DFT, PBE-GGA
State: relaxed

Lattice parameters (Å, degrees): 18.3637 4.2123 8.4717 90.00 103.17 90.00
Last column: nearest neighbours and their distance in Å.
Space group C2/m (No. 12)
Asymmetric unit:
Pm: 0.0000 0.0000 0.0000 (multiplicity 2)  6 As 2.97-3.05
Pm: 0.1681 0.5000 0.3331 (multiplicity 4)  6 As 2.97-3.04
Nd: 0.1670 0.5000 0.8362 (multiplicity 4)  6 As 2.98-3.01
U: 0.0000 0.0000 0.5000 (multiplicity 2)  6 As 2.90-2.93
As: 0.0008 0.5000 0.2600 (multiplicity 4)  2 U 2.93, 3 Pm 2.99-3.05, 1 Nd 3.00
As: 0.1620 0.0000 0.5798 (multiplicity 4)  1 U 2.90, 3 Pm 2.99-3.04, 2 Nd 3.01
As: 0.1662 0.0000 0.0856 (multiplicity 4)  3 Pm 2.97, 3 Nd 2.98-2.99

=====

Number 1: ΔH_f (0 K) -1477.9 meV per atom, Fermi-level density of states 5.477 states/eV/f.u.. Number 2: ΔH_f (0 K) -1520.6 meV per atom, Fermi-level density of states 1.812 states/eV/f.u.. Number 3: ΔH_f (0 K) -1515.5 meV per atom, Fermi-level density of states 1.563 states/eV/f.u.. Number 4: ΔH_f (0 K) -1476.0 meV per atom, Fermi-level density of states 4.110 states/eV/f.u.. Number 5: ΔH_f (0 K) -1509.1 meV per atom, Fermi-level density of states 1.760 states/eV/f.u.. Number 6: ΔH_f (0 K) -1501.5 meV per atom, Fermi-level density of states 1.886 states/eV/f.u.. Number 7: ΔH_f (0 K) -1503.8 meV per atom, Fermi-level density of states 0.920 states/eV/f.u.. Number 8: ΔH_f (0 K) -1386.7 meV per atom, Fermi-level density of states 8.907 states/eV/f.u..